First-principles (PBE+U) data for a relaxed ZnW2O4 crystal, as listed in Alexandria via LeMat-Bulk.

abc: 5.3123 6.6842 10.9487
angles: 106.43 90.03 89.99
With the nearest neighbours (Å) after each atom.
Fractional coordinates of all 28 atoms:
1 Zn 0.8596 0.7501 0.2500  4 O 2.02-2.03
2 Zn 0.1406 0.2490 0.7501  4 O 2.02-2.03
3 Zn 0.5949 0.7507 0.7500  4 O 2.07-2.10
4 Zn 0.4050 0.2499 0.2500  4 O 2.07-2.10
5 W 0.5374 0.2560 0.5128  6 O 2.16-2.23
6 W 0.5364 0.2443 0.9874  6 O 2.16-2.23
7 W 0.4637 0.7440 0.4872  6 O 2.16-2.23
8 W 0.4625 0.7561 0.0126  6 O 2.16-2.23
9 W 0.0005 0.4999 0.5000  6 O 2.17-2.25
10 W 0.9995 0.0001 0.0000  6 O 2.17-2.25
11 W 0.0007 0.9998 0.5000  6 O 2.17-2.26
12 W 0.9993 0.5001 0.9999  6 O 2.17-2.26
13 O 0.8981 0.3064 0.6212  1 Zn 2.03, 3 W 2.17-2.23
14 O 0.8966 0.1933 0.8787  1 Zn 2.02, 3 W 2.17-2.23
15 O 0.1029 0.6931 0.3787  1 Zn 2.03, 3 W 2.17-2.23
16 O 0.1023 0.8067 0.1213  1 Zn 2.02, 3 W 2.17-2.23
17 O 0.1955 0.2104 0.4008  1 Zn 2.07, 3 W 2.16-2.26
18 O 0.1946 0.2897 0.0993  1 Zn 2.07, 3 W 2.16-2.26
19 O 0.8056 0.7895 0.5992  1 Zn 2.07, 3 W 2.16-2.26
20 O 0.8043 0.7107 0.9007  1 Zn 2.07, 3 W 2.16-2.26
21 O 0.6398 0.4468 0.3873  1 Zn 2.10, 3 W 2.19-2.25
22 O 0.6390 0.0530 0.1127  1 Zn 2.10, 3 W 2.19-2.25
23 O 0.3460 0.0571 0.6099  1 Zn 2.02, 3 W 2.17-2.23
24 O 0.3445 0.4428 0.8902  1 Zn 2.02, 3 W 2.17-2.23
25 O 0.3611 0.5532 0.6126  1 Zn 2.10, 3 W 2.19-2.25
26 O 0.3600 0.9473 0.8872  1 Zn 2.10, 3 W 2.19-2.25
27 O 0.6553 0.9429 0.3902  1 Zn 2.02, 3 W 2.17-2.23
28 O 0.6543 0.5575 0.1099  1 Zn 2.02, 3 W 2.17-2.23

Computed properties:
Energy above the most stable polymorph in this dataset (meV per atom): 247
Energy (eV per atom): -6.418
Magnetization (μB/f.u.): 4.02